## LiFeF4 (GGA+U)

Data for LiFeF4 after structural relaxation.

- crystal system = orthorhombic
- energy relative to the lowest polymorph listed for this composition (meV/atom) = 107
- final energy (eV/atom) = -5.043

a = 5.740 Å, b = 8.871 Å, c = 6.267 Å
α = 90.00°, β = 90.00°, γ = 90.00°
Space group Cmcm (No. 63)
Inequivalent atoms, fractional coordinates:
Li (0.000, 0.000, 0.000) x4
Fe (0.000, 0.348, 0.250) x4
F (0.000, 0.224, 0.017) x8
F (0.247, 0.020, 0.750) x8